# Mn2AlCdGa, optimized geometry, DFT PBE-GGA
# E_tot	-22.25	eV for the cell shown
# density of states at the Fermi level	4.84	states/eV/f.u.
# M_tot	1.481	μB per atom
data_Mn2AlCdGa
_cell_length_a 4.720
_cell_length_b 4.720
_cell_length_c 4.936
_cell_angle_alpha 90.00
_cell_angle_beta 90.00
_cell_angle_gamma 90.00
_symmetry_space_group_name_H-M 'P 4/m m m'
_symmetry_Int_Tables_number 123
_symmetry_space_group_name_Hall '-P 4 2'
loop_
_atom_site_label
_atom_site_fract_x
_atom_site_fract_y
_atom_site_fract_z
Mn1 0.000 0.500 0.000
Al1 0.000 0.000 0.500
Cd1 0.500 0.500 0.500
Ga1 0.500 0.500 0.000


# NaAlCdGa, optimized geometry, DFT PBE-GGA
# E_tot	-35.29	eV for the cell shown
# density of states at the Fermi level	2.46	states/eV/f.u.
# M_tot	0.000	μB per atom
data_NaAlCdGa
_cell_length_a 6.924
_cell_length_b 6.924
_cell_length_c 6.924
_cell_angle_alpha 90.00
_cell_angle_beta 90.00
_cell_angle_gamma 90.00
_symmetry_space_group_name_H-M 'F -4 3 m'
_symmetry_Int_Tables_number 216
_symmetry_space_group_name_Hall 'F -4 2 3'
loop_
_atom_site_label
_atom_site_fract_x
_atom_site_fract_y
_atom_site_fract_z
Na1 0.000 0.000 0.000
Al1 0.000 0.000 0.500
Cd1 0.250 0.250 0.250
Ga1 0.250 0.250 0.750


# AlCdGaO4, optimized geometry, DFT PBE-GGA
# E_form (uncorrected)	-1977	meV per atom
# density of states at the Fermi level	0.00	states/eV/f.u.
# M_tot	0.000	μB per atom
data_AlCdGaO4
_cell_length_a 6.143
_cell_length_b 9.238
_cell_length_c 6.195
_cell_angle_alpha 90.00
_cell_angle_beta 90.00
_cell_angle_gamma 90.00
_symmetry_space_group_name_H-M 'C m c m'
_symmetry_Int_Tables_number 63
_symmetry_space_group_name_Hall '-C 2c 2'
loop_
_atom_site_label
_atom_site_fract_x
_atom_site_fract_y
_atom_site_fract_z
Al1 0.000 0.143 0.250
Cd1 0.000 0.500 0.000
Ga1 0.000 0.148 0.750
O1 0.000 0.247 0.009
O2 0.213 0.006 0.250


# AlCdGa2O6, optimized geometry, DFT PBE-GGA
# E_form (uncorrected)	-1757	meV per atom
# M_tot	0.105	μB per atom
data_AlCdGa2O6
_cell_length_a 9.702
_cell_length_b 10.702
_cell_length_c 5.863
_cell_angle_alpha 90.00
_cell_angle_beta 115.55
_cell_angle_gamma 90.00
_symmetry_space_group_name_H-M 'C 1 2/c 1'
_symmetry_Int_Tables_number 15
_symmetry_space_group_name_Hall '-C 2yc'
loop_
_atom_site_label
_atom_site_fract_x
_atom_site_fract_y
_atom_site_fract_z
Al1 0.000 0.181 0.250
Cd1 0.000 0.111 0.750
Ga1 0.158 0.411 0.659
O1 0.093 0.253 0.547
O2 0.111 0.456 0.926
O3 0.127 0.078 0.190


# AlCdGaOs2, optimized geometry, DFT PBE-GGA
# E_tot	-19.12	eV for the cell shown
# density of states at the Fermi level	5.08	states/eV/f.u.
# M_tot	0.106	μB per atom
data_AlCdGaOs2
_cell_length_a 4.924
_cell_length_b 4.924
_cell_length_c 4.540
_cell_angle_alpha 90.00
_cell_angle_beta 90.00
_cell_angle_gamma 90.00
_symmetry_space_group_name_H-M 'P 4/m m m'
_symmetry_Int_Tables_number 123
_symmetry_space_group_name_Hall '-P 4 2'
loop_
_atom_site_label
_atom_site_fract_x
_atom_site_fract_y
_atom_site_fract_z
Al1 0.000 0.000 0.000
Cd1 0.500 0.500 0.500
Ga1 0.500 0.500 0.000
Os1 0.000 0.500 0.500


# PmAlCdGa, optimized geometry, DFT PBE-GGA
# E_tot	-52.95	eV for the cell shown
# density of states at the Fermi level	2.36	states/eV/f.u.
# M_tot	0.000	μB per atom
data_PmAlCdGa
_cell_length_a 7.079
_cell_length_b 7.079
_cell_length_c 7.079
_cell_angle_alpha 90.00
_cell_angle_beta 90.00
_cell_angle_gamma 90.00
_symmetry_space_group_name_H-M 'F -4 3 m'
_symmetry_Int_Tables_number 216
_symmetry_space_group_name_Hall 'F -4 2 3'
loop_
_atom_site_label
_atom_site_fract_x
_atom_site_fract_y
_atom_site_fract_z
Pm1 0.000 0.000 0.000
Al1 0.250 0.250 0.250
Cd1 0.000 0.000 0.500
Ga1 0.250 0.250 0.750